# 1
Pu7Bi3N2: relaxed, PBE.

a b c (Å): 4.9645 4.7567 12.6702
angles (deg): 90.00 101.30 90.00
Last column: magnetic moment on the atom in μB.
Atoms (fractional coordinates):
N (0.8931, 0.0000, 0.7862)  -0.24
Pu (0.9058, 0.5000, 0.8116)  5.48
N (0.1069, 0.0000, 0.2138)  -0.24
Bi (0.3093, 0.5000, 0.6186)  -0.18
Pu (0.2009, 0.0000, 0.4019)  5.54
Pu (0.4000, 0.0000, 0.8000)  5.52
Bi (0.6907, 0.5000, 0.3814)  -0.18
Pu (0.6000, 0.0000, 0.2000)  5.52
Pu (0.0942, 0.5000, 0.1884)  5.48
Pu (0.0000, 0.0000, 0.0000)  5.78
Pu (0.7991, 0.0000, 0.5981)  5.54
Bi (0.5000, 0.5000, 0.0000)  -0.16

Values from the calculation:
D(E_F) = 47.24 states/eV/f.u.
Energy relative to the elements, uncorrected = -0.6498 eV per atom
Space group = Cmmm (65)
ρ = 13.373 g/cm3

# 2
Pu2BiN: relaxed, PBE.

a b c (Å): 3.5873 7.8946 6.3726
angles (deg): 90.00 90.00 103.13
Last column: magnetic moment on the atom in μB.
Atoms (fractional coordinates):
Pu (0.3401, 0.6801, 0.9795)  5.49
Bi (0.9917, 0.9835, 0.2500)  -0.10
Pu (0.6599, 0.3199, 0.0205)  5.49
Pu (0.6599, 0.3199, 0.4795)  5.49
N (0.2354, 0.4709, 0.2500)  -0.22
Bi (0.0083, 0.0165, 0.7500)  -0.10
N (0.7646, 0.5291, 0.7500)  -0.22
Pu (0.3401, 0.6801, 0.5205)  5.49

Values from the calculation:
D(E_F) = 11.46 states/eV/f.u.
Energy relative to the elements, uncorrected = -0.6366 eV per atom
Space group = Cmcm (63)
ρ = 13.435 g/cm3

# 3
Pu2BiN: relaxed, PBE.

a b c (Å): 4.0624 4.0624 6.2089
angles (deg): 70.90 70.90 60.00
Atoms (fractional coordinates):
Bi (0.0000, 0.0000, 0.0000)
Pu (0.1879, 0.1879, 0.4364)
N (0.5000, 0.5000, 0.5000)
Pu (0.8121, 0.8121, 0.5636)

Values from the calculation:
D(E_F) = 7.21 states/eV/f.u.
Energy relative to the elements, uncorrected = -0.0421 eV per atom
Space group = R-3m (166)
ρ = 14.369 g/cm3